No. 1
# PBE LaSm2Te, optimized geometry
data_LaSm2Te
_chemical_formula_sum 'La4 Sm8 Te4'
_symmetry_space_group_name_H-M 'P 1'
_symmetry_Int_Tables_number 1
_cell_length_a 4.073
_cell_length_b 12.418
_cell_length_c 10.216
_cell_angle_alpha 90.00
_cell_angle_beta 90.00
_cell_angle_gamma 90.00
loop_
_symmetry_equiv_pos_as_xyz
'x,y,z'
loop_
_atom_site_label
_atom_site_type_symbol
_atom_site_fract_x
_atom_site_fract_y
_atom_site_fract_z
La1 La 0.000 0.055 0.250
La2 La 0.000 0.945 0.750
La3 La 0.500 0.445 0.750
La4 La 0.500 0.555 0.250
Sm1 Sm 0.000 0.363 0.035
Sm2 Sm 0.000 0.363 0.465
Sm3 Sm 0.000 0.637 0.535
Sm4 Sm 0.000 0.637 0.965
Sm5 Sm 0.500 0.137 0.535
Sm6 Sm 0.500 0.137 0.965
Sm7 Sm 0.500 0.863 0.035
Sm8 Sm 0.500 0.863 0.465
Te1 Te 0.000 0.231 0.750
Te2 Te 0.000 0.769 0.250
Te3 Te 0.500 0.269 0.250
Te4 Te 0.500 0.731 0.750
# excess energy over the best structure of this formula in the dataset: 0.00 eV per formula unit
# uncorrected energy: -0.37285 Ry per atom
# volume: 129.18 Å³/f.u.

No. 2
# PBE SrFe2Pb, optimized geometry
data_SrFe2Pb
_chemical_formula_sum 'Sr3 Fe6 Pb3'
_symmetry_space_group_name_H-M 'P 1'
_symmetry_Int_Tables_number 1
_cell_length_a 3.367
_cell_length_b 3.367
_cell_length_c 27.938
_cell_angle_alpha 90.00
_cell_angle_beta 90.00
_cell_angle_gamma 120.00
loop_
_symmetry_equiv_pos_as_xyz
'x,y,z'
loop_
_atom_site_label
_atom_site_type_symbol
_atom_site_fract_x
_atom_site_fract_y
_atom_site_fract_z
Sr1 Sr 0.000 0.000 0.000
Sr2 Sr 0.333 0.667 0.667
Sr3 Sr 0.667 0.333 0.333
Fe1 Fe 0.000 0.000 0.243
Fe2 Fe 0.000 0.000 0.757
Fe3 Fe 0.333 0.667 0.424
Fe4 Fe 0.333 0.667 0.909
Fe5 Fe 0.667 0.333 0.091
Fe6 Fe 0.667 0.333 0.576
Pb1 Pb 0.000 0.000 0.500
Pb2 Pb 0.333 0.667 0.167
Pb3 Pb 0.667 0.333 0.833
# uncorrected energy: -0.34201 Ry per atom
# volume: 91.44 Å³/f.u.

No. 3
# PBE CsZr3Co, optimized geometry
data_CsZr3Co
_chemical_formula_sum 'Cs1 Zr3 Co1'
_symmetry_space_group_name_H-M 'P 1'
_symmetry_Int_Tables_number 1
_cell_length_a 5.194
_cell_length_b 5.194
_cell_length_c 5.194
_cell_angle_alpha 90.00
_cell_angle_beta 90.00
_cell_angle_gamma 90.00
loop_
_symmetry_equiv_pos_as_xyz
'x,y,z'
loop_
_atom_site_label
_atom_site_type_symbol
_atom_site_fract_x
_atom_site_fract_y
_atom_site_fract_z
Cs1 Cs 0.000 0.000 0.000
Zr1 Zr 0.000 0.000 0.500
Zr2 Zr 0.000 0.500 0.000
Zr3 Zr 0.500 0.000 0.000
Co1 Co 0.500 0.500 0.500
# excess energy over the best structure of this formula in the dataset: 9.01 eV per formula unit
# uncorrected energy: -0.31154 Ry per atom
# volume: 140.10 Å³/f.u.

No. 4
# PBE Rb2Li2Al, optimized geometry
data_Rb2Li2Al
_chemical_formula_sum 'Rb4 Li4 Al2'
_symmetry_space_group_name_H-M 'P 1'
_symmetry_Int_Tables_number 1
_cell_length_a 7.114
_cell_length_b 7.114
_cell_length_c 8.528
_cell_angle_alpha 90.00
_cell_angle_beta 90.00
_cell_angle_gamma 90.00
loop_
_symmetry_equiv_pos_as_xyz
'x,y,z'
loop_
_atom_site_label
_atom_site_type_symbol
_atom_site_fract_x
_atom_site_fract_y
_atom_site_fract_z
Rb1 Rb 0.000 0.500 0.250
Rb2 Rb 0.000 0.500 0.750
Rb3 Rb 0.500 0.000 0.250
Rb4 Rb 0.500 0.000 0.750
Li1 Li 0.000 0.000 0.174
Li2 Li 0.000 0.000 0.826
Li3 Li 0.500 0.500 0.326
Li4 Li 0.500 0.500 0.674
Al1 Al 0.000 0.000 0.500
Al2 Al 0.500 0.500 0.000
# excess energy over the best structure of this formula in the dataset: 0.54 eV per formula unit
# uncorrected energy: -0.11230 Ry per atom
# volume: 215.79 Å³/f.u.